Sm2Y2GaRh4 | PBE | optimized geometry

Its density is 8.2 Mg/m³. The calculation puts the energy of formation at -0.45 eV per atom. The total magnetic moment comes out at 0.00 Bohr magnetons per cell.

Unit cell a=6.6485 b=6.6485 c=8.8084 alpha=90.00 beta=90.00 gamma=90.00
Space group I4/mmm (No. 139)
Symmetry-distinct sites (fractional):
Sm  0.0000  0.0000  0.1853 (multiplicity 4)
Y  0.0000  0.5000  0.2500 (multiplicity 4)
Ga  0.0000  0.0000  0.5000 (multiplicity 2)
Rh  0.2424  0.2424  0.0000 (multiplicity 8)

=====

HfMg6ZnO8 | PBE | optimized geometry

Its density is 5.1 Mg/m³. For the uncorrected formation energy, the calculation gives -2.3389 eV per atom. The energy above the most stable polymorph in this dataset is 0 meV per atom. The total magnetic moment comes out at 1.24 Bohr magnetons per cell.

Unit cell a=4.3433 b=4.3433 c=8.8700 alpha=90.00 beta=90.00 gamma=90.00
Space group P4/mmm (No. 123)
Symmetry-distinct sites (fractional):
Hf  0.0000  0.0000  0.0000 (multiplicity 1)
Mg  0.0000  0.0000  0.5000 (multiplicity 1)
Mg  0.0000  0.5000  0.2607 (multiplicity 4)
Mg  0.5000  0.5000  0.5000 (multiplicity 1)
Zn  0.5000  0.5000  0.0000 (multiplicity 1)
O  0.0000  0.0000  0.2579 (multiplicity 2)
O  0.0000  0.5000  0.0000 (multiplicity 2)
O  0.0000  0.5000  0.5000 (multiplicity 2)
O  0.5000  0.5000  0.2662 (multiplicity 2)

=====

ZrAl3Ru4 | PBE | optimized geometry

Its density is 8.2 Mg/m³. The calculation puts the energy of formation at -0.67 eV per atom. The total magnetic moment comes out at 0.00 Bohr magnetons per cell.

Unit cell a=4.3474 b=4.3474 c=6.1920 alpha=90.00 beta=90.00 gamma=90.00
Space group P4/mmm (No. 123)
Symmetry-distinct sites (fractional):
Zr  0.0000  0.0000  0.0000 (multiplicity 1)
Al  0.0000  0.0000  0.5000 (multiplicity 1)
Al  0.5000  0.5000  0.0000 (multiplicity 1)
Al  0.5000  0.5000  0.5000 (multiplicity 1)
Ru  0.0000  0.5000  0.2645 (multiplicity 4)